## CaCCl2 (PBE)

Data for crystalline CaCCl2 at its relaxed geometry.

Calculated values
Its total magnetization is 4.000 μB/cell. Its symmetry is I-42d. As for the formation energy without anion corrections: 214 meV per atom.

a b c (Å): 4.8307 4.8307 9.0927
angles (deg): 74.60 74.60 90.00
Sites, in units of the cell vectors:
C  0.5000  0.5000  0.0000
C  0.2500  0.7500  0.5000
Cl  0.3750  0.3786  0.7500
Cl  0.1286  0.6250  0.2500
Cl  0.6214  0.1250  0.2500
Cl  0.8750  0.8714  0.7500
Ca  0.0000  0.0000  0.0000
Ca  0.7500  0.2500  0.5000